First-principles (SCAN) data for a crystal of CuSnSe2 relaxed with PBEsol, as listed in the Alexandria database.

a b c (Å): 4.1767 4.1767 22.1774
angles (deg): 90.00 90.00 120.00
Space group R-3m (No. 166, hexagonal axes)
Inequivalent atoms, fractional coordinates:
Cu: 0.0000 0.0000 0.0000 [3 per cell]
Sn: 0.0000 0.0000 0.5000 [3 per cell]
Se: 0.0000 0.0000 0.0999 [6 per cell]

Output
* ΔE_f (raw): -0.08 eV per atom
* calculated volume: 335.1 Å³ per cell
* magnetization: 0.000 μB per formula unit